(1)
A plane-wave DFT calculation with PBE was carried out for a relaxed AgRhSe2 crystal.

```
4
Lattice="3.200 0.001 0.000 -0.001 3.200 0.000 0.000 0.000 6.974" Properties=species:S:1:pos:R:3 pbc="T T T"
Ag 1.600 1.601 1.744
Se 0.000 0.000 6.748
Se 0.000 0.000 3.714
Rh 1.600 1.601 5.231
```

Values from the calculation:
As for the symmetry: P4/mmm, No. 123. The raw total energy is -4.2246 eV/atom.

(2)
A plane-wave DFT calculation with PBE was carried out for a relaxed Y2ZrCu crystal.

```
4
Lattice="-0.839 3.648 2.814 -3.114 -1.493 1.007 1.210 -3.517 4.920" Properties=species:S:1:pos:R:3 pbc="T T T"
Y -1.863 -4.762 5.617
Zr -1.532 -2.790 3.160
Cu -1.259 -1.659 5.672
Y -0.944 0.334 3.183
```

Values from the calculation:
As for the symmetry: Pm, No. 6. The energy of formation from the pure elements comes out at 26.8 kJ/mol of formula units.

(3)
A plane-wave DFT calculation with PBE was carried out for a relaxed Ho3FeAg crystal.

```
10
Lattice="-4.484 3.805 -0.414 -2.715 1.510 5.010 2.049 8.062 2.742" Properties=species:S:1:pos:R:3 pbc="T T T"
Ag -2.179 6.175 4.882
Ho -1.443 4.187 2.242
Fe -3.281 2.243 3.277
Fe -3.919 3.071 1.319
Ag -2.971 7.202 2.456
Ho -4.683 4.715 3.522
Ho -3.708 9.190 5.097
Ho 1.425 6.406 2.245
Ho -0.467 8.662 3.816
Ho -6.575 6.970 5.093
```

Values from the calculation:
As for the symmetry: C2/m, No. 12. The energy of formation from the pure elements comes out at -53.0 kJ/mol of formula units.

(4)
A plane-wave DFT calculation with PBE was carried out for a relaxed Zn2Cr2Ag crystal.

```
5
Lattice="3.267 0.000 0.000 0.000 3.267 0.000 1.633 1.633 6.980" Properties=species:S:1:pos:R:3 pbc="T T T"
Cr 1.633 3.267 3.490
Zn 1.633 1.633 1.411
Ag 0.000 0.000 0.000
Zn 3.267 3.267 5.569
Cr 3.267 1.633 3.490
```

Values from the calculation:
As for the symmetry: I4/mmm, No. 139. The energy of formation from the pure elements comes out at 204.3 kJ/mol of formula units.

(5)
A plane-wave DFT calculation with PBE was carried out for a relaxed Dy2Tm7 crystal.

```
9
Lattice="3.517 0.000 0.000 0.000 9.497 0.000 0.000 -4.748 8.225" Properties=species:S:1:pos:R:3 pbc="T T T"
Tm 0.000 3.303 5.720
Tm 1.759 6.075 0.000
Dy 0.000 4.748 2.742
Dy 0.000 0.000 5.483
Tm 1.759 0.000 0.000
Tm 0.000 -1.446 2.504
Tm 1.759 -3.038 5.261
Tm 0.000 2.892 0.000
Tm 1.759 1.711 2.963
```

Values from the calculation:
As for the symmetry: P-62m, No. 189. The energy of formation from the pure elements comes out at 33.3 kJ/mol of formula units.

(6)
A plane-wave DFT calculation with PBE was carried out for a relaxed OsIBr4 crystal.

```
18
Lattice="8.795 0.000 0.000 -4.397 7.616 0.000 0.000 0.000 20.630" Properties=species:S:1:pos:R:3 pbc="T T T"
Br 0.357 3.446 1.409
Br 3.162 1.440 8.263
Br -1.235 6.176 5.490
Os 4.395 0.000 6.877
I 4.383 0.000 17.192
Br 2.806 2.032 19.221
Br 4.063 4.158 1.386
Br 1.234 6.203 8.286
Br 1.569 5.598 19.244
Br -1.592 5.584 15.163
Os 2.200 3.810 0.000
Os -2.197 3.806 13.754
Br 5.966 2.019 15.140
Br 4.755 4.170 12.344
Br -0.334 3.459 12.367
I -2.191 3.795 3.438
I 2.206 3.821 10.315
Br 5.632 1.413 5.468
```

Values from the calculation:
As for the symmetry: P3_121, No. 152. The raw total energy is -3.0991 eV/atom.

(7)
A plane-wave DFT calculation with PBE was carried out for a relaxed PrIr3 crystal.

```
8
Lattice="-3.210 -2.510 -2.264 3.106 -5.052 1.197 -4.236 1.933 3.862" Properties=species:S:1:pos:R:3 pbc="T T T"
Ir -2.113 -3.100 -0.766
Ir -3.945 0.265 2.899
Pr -0.144 -3.351 1.519
Ir -2.738 -4.824 2.031
Ir -2.227 -2.528 3.560
Pr -4.196 -2.277 1.275
Ir -1.602 -0.804 0.763
Ir -0.395 -5.893 -0.104
```

Values from the calculation:
As for the symmetry: P6_3/mmc, No. 194. The energy of formation from the pure elements comes out at -33.2 kJ/mol of formula units.

(8)
A plane-wave DFT calculation with PBE was carried out for a relaxed Be2TcAg crystal.

```
4
Lattice="0.000 2.868 2.868 2.868 0.000 2.868 2.868 2.868 0.000" Properties=species:S:1:pos:R:3 pbc="T T T"
Be 4.302 4.302 4.302
Ag 2.868 2.868 2.868
Tc 0.000 0.000 0.000
Be 1.434 1.434 1.434
```

Values from the calculation:
As for the symmetry: Fm-3m, No. 225. The energy of formation from the pure elements comes out at 60.3 kJ/mol of formula units.